The following is a DFT calculation (GGA+U) of crystalline FeGePbO4 at its relaxed geometry.

a b c (Å): 5.578 5.993 6.587
angles (deg): 90.00 106.07 90.00
Last column: magnetic moment on the atom in μB.
Positions (direct):
O (0.471, 0.250, 0.441)  0.03
O (0.529, 0.750, 0.559)  0.03
O (0.045, 0.963, 0.306)  0.05
O (0.623, 0.250, 0.910)  0.01
O (0.045, 0.537, 0.306)  0.05
O (0.377, 0.750, 0.090)  0.01
O (0.955, 0.463, 0.694)  0.05
O (0.955, 0.037, 0.694)  0.05
Fe (0.122, 0.250, 0.487)  3.75
Fe (0.878, 0.750, 0.513)  3.75
Ge (0.285, 0.750, 0.326)  0.01
Ge (0.715, 0.250, 0.674)  0.01
Pb (0.267, 0.250, 0.023)  0.01
Pb (0.733, 0.750, 0.977)  0.01

- volume (Å³/atom) = 15.1
- E_tot (eV per atom) = -6.188
- density (Mg/m³) = 6.274